This record from the Alexandria database describes a relaxed CdPSe2N crystal. The functional is PBE.

Lattice parameters (Å, degrees): 5.2172 5.2172 3.2772 90.00 90.00 90.00
With the nearest neighbours (Å) after each atom.
Fractional coordinates of all 5 atoms:
Cd 0.0000 0.0000 0.0000  8 Se 3.08, 2 Cd 3.28
P 0.5000 0.5000 0.5000  2 N 1.64
Se 0.0000 0.5000 0.5000  2 P 2.61
Se 0.5000 0.0000 0.5000  2 P 2.61
N 0.5000 0.5000 0.0000  2 P 1.64

Summary:
crystal system = tetragonal

=====

This record from the Alexandria database describes a relaxed CdSiP2N6 crystal. The functional is PBE.

Lattice parameters (Å, degrees): 6.8466 6.8466 5.5536 107.30 107.30 96.06
With the nearest neighbours (Å) after each atom.
Fractional coordinates of all 20 atoms:
Cd 0.1194 0.8806 0.7500  6 N 2.28-2.45
Cd 0.8806 0.1194 0.2500  6 N 2.28-2.45
Si 0.1868 0.8132 0.2500  4 N 1.70-1.76
Si 0.8132 0.1868 0.7500  4 N 1.70-1.76
P 0.2486 0.4208 0.8850  3 N 1.58-1.75
P 0.4208 0.2486 0.3850  3 N 1.58-1.75
P 0.5792 0.7514 0.6150  3 N 1.58-1.75
P 0.7514 0.5792 0.1150  3 N 1.58-1.75
N 0.0662 0.2177 0.7332  1 P 1.59, 1 Si 1.76
N 0.1960 0.6451 0.9610  1 P 1.58, 1 Si 1.70
N 0.2177 0.0662 0.2332  1 P 1.59, 1 Si 1.76
N 0.3549 0.8040 0.5390  1 P 1.58, 1 Si 1.70
N 0.4038 0.4183 0.6854  1 N 1.46
N 0.4183 0.4038 0.1854  1 N 1.46
N 0.5817 0.5962 0.8146  1 N 1.46
N 0.5962 0.5817 0.3146  1 N 1.46
N 0.6451 0.1960 0.4610  1 P 1.58, 1 Si 1.70
N 0.7823 0.9338 0.7668  1 P 1.59, 1 Si 1.76
N 0.8040 0.3549 0.0390  1 P 1.58, 1 Si 1.70
N 0.9338 0.7823 0.2668  1 P 1.59, 1 Si 1.76

Summary:
crystal system = monoclinic

=====

This record from the Alexandria database describes a relaxed SrCd2PN crystal. The functional is PBE.

Lattice parameters (Å, degrees): 4.5035 4.5035 5.1839 90.00 90.00 90.00
With the nearest neighbours (Å) after each atom.
Fractional coordinates of all 5 atoms:
Sr 0.0000 0.0000 0.0000  2 N 2.59
Cd 0.0000 0.5000 0.5000  2 N 2.25
Cd 0.5000 0.0000 0.5000  2 N 2.25
P 0.5000 0.5000 0.0000  4 Sr 3.18, 8 Cd 3.43
N 0.0000 0.0000 0.5000  4 Cd 2.25

Summary:
crystal system = tetragonal

=====

This record from the Alexandria database describes a relaxed CdTePN2 crystal. The functional is PBE.

Lattice parameters (Å, degrees): 3.7489 3.7489 5.9721 90.00 90.00 90.00
With the nearest neighbours (Å) after each atom.
Fractional coordinates of all 5 atoms:
Cd 0.0000 0.0000 0.0000  4 Te 2.65
Te 0.5000 0.5000 0.0000  4 Cd 2.65
P 0.5000 0.5000 0.5000  4 N 1.87
N 0.0000 0.5000 0.5000  2 P 1.87
N 0.5000 0.0000 0.5000  2 P 1.87

Summary:
crystal system = tetragonal

=====

This record from the Alexandria database describes a relaxed CdTePN2 crystal. The functional is PBE.

Lattice parameters (Å, degrees): 4.1774 4.1774 6.6583 90.00 90.00 90.00
With the nearest neighbours (Å) after each atom.
Fractional coordinates of all 5 atoms:
Cd 0.0000 0.0000 0.0000  4 N 2.09
Te 0.0000 0.0000 0.5000  4 P 2.95
P 0.5000 0.5000 0.5000  4 Te 2.95
N 0.0000 0.5000 0.0000  2 Cd 2.09
N 0.5000 0.0000 0.0000  2 Cd 2.09

Summary:
crystal system = tetragonal

=====

This record from the Alexandria database describes a relaxed ThCdPN crystal. The functional is PBE.

Lattice parameters (Å, degrees): 11.0629 11.0629 11.0629 21.63 21.63 21.63
With the nearest neighbours (Å) after each atom.
Fractional coordinates of all 8 atoms:
Th 0.1225 0.1225 0.1225  4 N 2.32-2.46
Th 0.8775 0.8775 0.8775  4 N 2.32-2.46
Cd 0.3026 0.3026 0.3026  3 P 2.56
Cd 0.6974 0.6974 0.6974  3 P 2.56
P 0.3923 0.3923 0.3923  3 Cd 2.56
P 0.6077 0.6077 0.6077  3 Cd 2.56
N 0.1941 0.1941 0.1941  4 Th 2.32-2.46
N 0.8059 0.8059 0.8059  4 Th 2.32-2.46

Summary:
crystal system = trigonal

=====

This record from the Alexandria database describes a relaxed TiCdP2N crystal. The functional is PBE.

Lattice parameters (Å, degrees): 4.6410 4.6410 5.6703 90.00 90.00 90.00
With the nearest neighbours (Å) after each atom.
Fractional coordinates of all 5 atoms:
Ti 0.0000 0.0000 0.0000  4 P 2.32
Cd 0.0000 0.0000 0.5000  2 Ti 2.84
P 0.0000 0.5000 0.0000  2 Ti 2.32
P 0.5000 0.0000 0.0000  2 Ti 2.32
N 0.5000 0.5000 0.5000  4 Cd 3.28, 8 P 3.66

Summary:
crystal system = tetragonal

=====

This record from the Alexandria database describes a relaxed TlCd2PN crystal. The functional is PBE.

Lattice parameters (Å, degrees): 4.4096 4.4096 5.3059 90.00 90.00 90.00
With the nearest neighbours (Å) after each atom.
Fractional coordinates of all 5 atoms:
Tl 0.0000 0.0000 0.0000  2 N 2.65
Cd 0.0000 0.5000 0.5000  2 N 2.20
Cd 0.5000 0.0000 0.5000  2 N 2.20
P 0.5000 0.5000 0.0000  4 Tl 3.12, 8 Cd 3.45
N 0.0000 0.0000 0.5000  4 Cd 2.20

Summary:
crystal system = tetragonal

=====

This record from the Alexandria database describes a relaxed Pa2CdN4 crystal. The functional is PBE.

Lattice parameters (Å, degrees): 6.3666 6.3666 6.3666 108.53 108.53 111.37
With the nearest neighbours (Å) after each atom.
Fractional coordinates of all 14 atoms:
Pa 0.0581 0.1250 0.4331  6 N 2.24-2.45
Pa 0.3750 0.9419 0.0669  6 N 2.24-2.45
Pa 0.6919 0.6250 0.5669  6 N 2.24-2.45
Pa 0.8750 0.3081 0.9331  6 N 2.24-2.45
Cd 0.2500 0.7500 0.5000  4 N 2.32
Cd 0.5000 0.5000 0.0000  4 N 2.32
N 0.0485 0.7765 0.1433  3 Pa 2.24-2.45, 1 Cd 2.32
N 0.0947 0.9515 0.7279  3 Pa 2.24-2.45, 1 Cd 2.32
N 0.1168 0.4735 0.7721  3 Pa 2.24-2.45, 1 Cd 2.32
N 0.2235 0.3668 0.2721  3 Pa 2.24-2.45, 1 Cd 2.32
N 0.5265 0.2985 0.6433  3 Pa 2.24-2.45, 1 Cd 2.32
N 0.6332 0.9053 0.8567  3 Pa 2.24-2.45, 1 Cd 2.32
N 0.6553 0.8832 0.3567  3 Pa 2.24-2.45, 1 Cd 2.32
N 0.7015 0.3447 0.2279  3 Pa 2.24-2.45, 1 Cd 2.32

Summary:
crystal system = tetragonal

=====

This record from the Alexandria database describes a relaxed Pa3CdN crystal. The functional is PBE.

Lattice parameters (Å, degrees): 4.7666 4.7666 4.7666 90.00 90.00 90.00
With the nearest neighbours (Å) after each atom.
Fractional coordinates of all 5 atoms:
Pa 0.0000 0.0000 0.5000  2 N 2.38
Pa 0.0000 0.5000 0.0000  2 N 2.38
Pa 0.5000 0.0000 0.0000  2 N 2.38
Cd 0.5000 0.5000 0.5000  12 Pa 3.37
N 0.0000 0.0000 0.0000  6 Pa 2.38

Summary:
crystal system = cubic

=====

This record from the Alexandria database describes a relaxed Pa2CdN crystal. The functional is PBE.

Lattice parameters (Å, degrees): 3.2610 3.2610 26.4078 90.00 90.00 120.00
With the nearest neighbours (Å) after each atom.
Fractional coordinates of all 12 atoms:
Pa 0.0000 0.0000 0.2246  3 N 2.43
Pa 0.0000 0.0000 0.7754  3 N 2.43
Pa 0.3333 0.6667 0.4420  3 N 2.43
Pa 0.3333 0.6667 0.8913  3 N 2.43
Pa 0.6667 0.3333 0.1087  3 N 2.43
Pa 0.6667 0.3333 0.5580  3 N 2.43
Cd 0.0000 0.0000 0.0000  6 Cd 3.26, 6 Pa 3.43
Cd 0.3333 0.6667 0.6667  6 Cd 3.26, 6 Pa 3.43
Cd 0.6667 0.3333 0.3333  6 Cd 3.26, 6 Pa 3.43
N 0.0000 0.0000 0.5000  6 Pa 2.43
N 0.3333 0.6667 0.1667  6 Pa 2.43
N 0.6667 0.3333 0.8333  6 Pa 2.43

Summary:
crystal system = trigonal

=====

This record from the Alexandria database describes a relaxed PaCdPtN crystal. The functional is PBE.

Lattice parameters (Å, degrees): 3.9615 3.9615 9.3598 90.00 90.00 90.00
With the nearest neighbours (Å) after each atom.
Fractional coordinates of all 8 atoms:
Pa 0.2500 0.2500 0.1243  4 N 2.30
Pa 0.7500 0.7500 0.8757  4 N 2.30
Cd 0.2500 0.7500 0.5000  4 Cd 2.80, 4 Pt 2.83
Cd 0.7500 0.2500 0.5000  4 Cd 2.80, 4 Pt 2.83
Pt 0.2500 0.2500 0.7162  4 Cd 2.83
Pt 0.7500 0.7500 0.2838  4 Cd 2.83
N 0.2500 0.7500 0.0000  4 Pa 2.30
N 0.7500 0.2500 0.0000  4 Pa 2.30

Summary:
crystal system = tetragonal

=====

These records have final energy values of -19.8, -139.4, -17.6, -20.6, -16.6, -52.6, -22.0, -14.9, -121.3, -40.2, -92.6, -57.4 eV/cell, in the order they appear.
These records have E_form (uncorrected) values of 1.9, -2.6, -0.4, 5.5, 9.5, -4.2, 5.9, 3.0, -7.4, -2.4, -2.6, -3.9 eV/f.u., in the order they appear.